1.
Compound: YZr2Cu
Source: Alexandria via LeMat-Bulk
Functional: meta-GGA SCAN
Structure: PBEsol geometry

Summary:
Distance to the lowest polymorph of the same formula, eV/f.u.: 1.08
Crystal system: trigonal

a = 9.722 Å, b = 9.722 Å, c = 9.722 Å
α = 19.12°, β = 19.12°, γ = 19.12°
Atoms (fractional coordinates):
Y 0.000 0.000 0.000
Zr 0.238 0.238 0.238
Zr 0.762 0.762 0.762
Cu 0.500 0.500 0.500

=====

2.
Compound: YZr2Cu
Source: Alexandria via LeMat-Bulk
Functional: meta-GGA SCAN
Structure: PBEsol geometry

Summary:
Distance to the lowest polymorph of the same formula, eV/f.u.: 1.60
Crystal system: orthorhombic

a = 5.408 Å, b = 5.408 Å, c = 3.103 Å
α = 90.00°, β = 90.00°, γ = 112.65°
Atoms (fractional coordinates):
Y 0.000 0.000 0.000
Zr 0.000 0.500 0.500
Zr 0.500 0.000 0.500
Cu 0.500 0.500 0.000

=====

3.
Compound: YZr2Cu
Source: Alexandria via LeMat-Bulk
Functional: meta-GGA SCAN
Structure: PBEsol geometry

Summary:
Distance to the lowest polymorph of the same formula, eV/f.u.: 1.01
Crystal system: tetragonal

a = 5.335 Å, b = 5.335 Å, c = 5.335 Å
α = 131.87°, β = 131.87°, γ = 70.43°
Atoms (fractional coordinates):
Y 0.000 0.000 0.000
Zr 0.500 0.500 0.000
Zr 0.750 0.250 0.500
Cu 0.250 0.750 0.500

=====

4.
Compound: YZr2Cu
Source: Alexandria via LeMat-Bulk
Functional: meta-GGA SCAN
Structure: PBEsol geometry

Summary:
Distance to the lowest polymorph of the same formula, eV/f.u.: 0.00
Crystal system: orthorhombic

a = 6.092 Å, b = 6.092 Å, c = 6.092 Å
α = 148.90°, β = 132.53°, γ = 57.84°
Atoms (fractional coordinates):
Y 0.000 0.000 0.000
Zr 0.288 0.788 0.500
Zr 0.712 0.212 0.500
Cu 0.500 0.500 0.000

=====

5.
Compound: YZr2Cu
Source: Alexandria via LeMat-Bulk
Functional: meta-GGA SCAN
Structure: PBEsol geometry

Summary:
Distance to the lowest polymorph of the same formula, eV/f.u.: 0.91
Crystal system: monoclinic

a = 3.226 Å, b = 5.098 Å, c = 5.207 Å
α = 90.00°, β = 98.53°, γ = 90.00°
Atoms (fractional coordinates):
Y 0.000 0.000 0.000
Zr 0.321 0.500 0.731
Zr 0.679 0.500 0.269
Cu 0.500 0.000 0.500

=====

6.
Compound: YZrCu
Source: Alexandria via LeMat-Bulk
Functional: meta-GGA SCAN
Structure: PBEsol geometry

Summary:
Crystal system: cubic

a = 4.595 Å, b = 4.595 Å, c = 4.595 Å
α = 60.00°, β = 60.00°, γ = 60.00°
Atoms (fractional coordinates):
Y 0.000 0.000 0.000
Zr 0.500 0.500 0.500
Cu 0.750 0.750 0.750

=====

Calculated total energy (eV/atom), listed in the same order as above: -25.92 -25.79 -25.94 -26.19 -25.96 -24.38
Calculated calculated volume (Å³/cell), listed in the same order as above: 86.2 83.8 82.5 85.4 84.7 68.6